# 1
The following is a DFT calculation (PBEsol) of crystalline La2Cl at its relaxed geometry.

Computed properties:
Size of the total moment ... 0.000 μB/f.u.
Formation energy without anion corrections ... -1037.2 meV/atom

a = 3.999 Å, b = 5.708 Å, c = 7.972 Å
α = 90.00°, β = 104.52°, γ = 90.00°
Fractional coordinates of all 6 atoms:
La 0.178 0.750 0.357
La 0.451 0.750 0.902
La 0.549 0.250 0.098
La 0.822 0.250 0.643
Cl 0.816 0.750 0.632
Cl 0.184 0.250 0.368

# 2
The following is a DFT calculation (PBEsol) of crystalline RbCa2BeF at its relaxed geometry.

Computed properties:
Size of the total moment ... 0.000 μB/f.u.
Formation energy without anion corrections ... -96.9 meV/atom

a = 5.390 Å, b = 5.390 Å, c = 6.482 Å
α = 90.00°, β = 90.00°, γ = 90.00°
Fractional coordinates of all 5 atoms:
Be 0.000 0.000 0.000
Ca 0.000 0.500 0.000
Ca 0.500 0.000 0.000
Rb 0.000 0.000 0.500
F 0.500 0.500 0.500

# 3
The following is a DFT calculation (PBEsol) of crystalline KHoCoSi2O7 at its relaxed geometry.

Computed properties:
Size of the total moment ... 3.000 μB/f.u.
Formation energy without anion corrections ... -2463.6 meV/atom

a = 6.351 Å, b = 6.351 Å, c = 8.420 Å
α = 101.78°, β = 101.78°, γ = 101.95°
Last column: magnetic moment on the atom in μB.
Fractional coordinates of all 24 atoms:
K 0.375 0.213 0.737  0.00
K 0.787 0.625 0.263  0.00
Ho 0.256 0.239 0.200  0.01
Ho 0.761 0.744 0.800  0.01
Co 0.795 0.205 0.500  2.52
Co 0.286 0.714 0.000  2.52
Si 0.926 0.278 0.871  0.01
Si 0.722 0.074 0.129  0.01
Si 0.165 0.691 0.648  0.01
Si 0.309 0.835 0.352  0.01
O 0.610 0.809 0.042  0.06
O 0.891 0.109 0.000  0.01
O 0.151 0.852 0.174  0.07
O 0.782 0.456 0.887  0.01
O 0.544 0.218 0.113  0.01
O 0.170 0.830 0.500  0.01
O 0.911 0.524 0.591  0.07
O 0.476 0.089 0.409  0.07
O 0.917 0.160 0.306  0.07
O 0.385 0.604 0.317  0.01
O 0.840 0.083 0.694  0.07
O 0.148 0.849 0.826  0.07
O 0.396 0.615 0.683  0.01
O 0.191 0.390 0.958  0.06

# 4
The following is a DFT calculation (PBEsol) of crystalline Sc2PtAu at its relaxed geometry.

Computed properties:
Formation energy ... -788 meV per atom
Size of the total moment ... 0.000 μB/f.u.

a = 3.832 Å, b = 3.832 Å, c = 6.740 Å
α = 73.48°, β = 73.48°, γ = 60.00°
Fractional coordinates of all 4 atoms:
Au 0.000 0.000 0.000
Pt 0.500 0.500 0.500
Sc 0.756 0.756 0.732
Sc 0.244 0.244 0.268

# 5
The following is a DFT calculation (PBEsol) of crystalline In2NiPt at its relaxed geometry.

Computed properties:
Formation energy ... -131 meV per atom
Size of the total moment ... 0.000 μB/f.u.

a = 3.548 Å, b = 3.526 Å, c = 5.481 Å
α = 90.00°, β = 90.00°, γ = 90.00°
Fractional coordinates of all 4 atoms:
In 0.000 0.000 0.963
In 0.500 0.500 0.292
Ni 0.000 0.000 0.475
Pt 0.500 0.500 0.770

# 6
The following is a DFT calculation (PBEsol) of crystalline CdAsSe3 at its relaxed geometry.

Computed properties:
Size of the total moment ... 0.001 μB/f.u.
Formation energy without anion corrections ... 809.9 meV/atom

a = 5.053 Å, b = 5.053 Å, c = 5.053 Å
α = 90.00°, β = 90.00°, γ = 90.00°
Fractional coordinates of all 5 atoms:
As 0.500 0.500 0.500
Se 0.000 0.500 0.000
Se 0.000 0.000 0.500
Se 0.500 0.000 0.000
Cd 0.000 0.000 0.000

# 7
The following is a DFT calculation (PBEsol) of crystalline Y2ZrTe at its relaxed geometry.

Computed properties:
Size of the total moment ... 0.000 μB/f.u.
Formation energy without anion corrections ... -430.0 meV/atom

a = 3.682 Å, b = 3.682 Å, c = 9.666 Å
α = 79.02°, β = 79.02°, γ = 60.00°
Fractional coordinates of all 4 atoms:
Te 0.000 0.000 0.000
Y 0.257 0.257 0.230
Y 0.743 0.743 0.770
Zr 0.500 0.500 0.500

# 8
The following is a DFT calculation (PBEsol) of crystalline Y2CrP at its relaxed geometry.

Computed properties:
Formation energy ... -271 meV per atom
Size of the total moment ... 3.346 μB/f.u.

a = 3.626 Å, b = 4.741 Å, c = 4.741 Å
α = 90.00°, β = 90.00°, γ = 90.00°
Last column: magnetic moment on the atom in μB.
Fractional coordinates of all 4 atoms:
Cr 0.500 0.500 0.500  3.29
P 0.500 0.000 0.000  0.03
Y 0.000 0.000 0.500  -0.09
Y 0.000 0.500 0.000  -0.09

# 9
The following is a DFT calculation (PBEsol) of crystalline CeTlP2Se6 at its relaxed geometry.

Computed properties:
Size of the total moment ... 1.005 μB/f.u.
Formation energy without anion corrections ... -590.4 meV/atom

a = 7.722 Å, b = 11.631 Å, c = 12.132 Å
α = 109.41°, β = 90.00°, γ = 90.00°
Last column: magnetic moment on the atom in μB.
Fractional coordinates of all 40 atoms:
Ce 0.105 0.405 0.651  0.95
Ce 0.605 0.095 0.349  0.95
Ce 0.895 0.595 0.349  0.95
Ce 0.395 0.905 0.651  0.95
Tl 0.907 0.129 0.872  0.00
Tl 0.407 0.371 0.128  0.00
Tl 0.093 0.871 0.128  0.00
Tl 0.593 0.629 0.872  0.00
P 0.097 0.254 0.324  0.01
P 0.597 0.246 0.676  0.01
P 0.903 0.746 0.676  0.01
P 0.403 0.754 0.324  0.01
P 0.382 0.234 0.794  0.01
P 0.882 0.266 0.206  0.01
P 0.618 0.766 0.206  0.01
P 0.118 0.734 0.794  0.01
Se 0.287 0.422 0.877  0.00
Se 0.787 0.078 0.123  0.00
Se 0.713 0.578 0.123  0.00
Se 0.213 0.922 0.877  0.00
Se 0.182 0.135 0.672  -0.01
Se 0.682 0.365 0.328  -0.01
Se 0.818 0.865 0.328  -0.01
Se 0.318 0.635 0.672  -0.01
Se 0.791 0.367 0.789  0.00
Se 0.291 0.133 0.211  0.00
Se 0.209 0.633 0.211  0.00
Se 0.709 0.867 0.789  0.00
Se 0.466 0.317 0.547  -0.01
Se 0.966 0.183 0.453  -0.01
Se 0.534 0.683 0.453  -0.01
Se 0.034 0.817 0.547  -0.01
Se 0.194 0.440 0.411  -0.01
Se 0.694 0.060 0.589  -0.01
Se 0.806 0.560 0.589  -0.01
Se 0.306 0.940 0.411  -0.01
Se 0.485 0.124 0.894  0.00
Se 0.985 0.376 0.106  0.00
Se 0.515 0.876 0.106  0.00
Se 0.015 0.624 0.894  0.00

# 10
The following is a DFT calculation (PBEsol) of crystalline YRe2Mo at its relaxed geometry.

Computed properties:
Formation energy ... 302 meV per atom
Size of the total moment ... 0.000 μB/f.u.

a = 2.777 Å, b = 2.777 Å, c = 9.211 Å
α = 90.00°, β = 90.00°, γ = 111.05°
Fractional coordinates of all 4 atoms:
Mo 0.500 0.500 0.000
Re 0.000 0.000 0.229
Re 0.000 0.000 0.771
Y 0.500 0.500 0.500

# 11
The following is a DFT calculation (PBEsol) of crystalline SrCaCl2 at its relaxed geometry.

Computed properties:
Size of the total moment ... 0.988 μB/f.u.
Formation energy without anion corrections ... -1511.9 meV/atom

a = 3.717 Å, b = 4.192 Å, c = 8.899 Å
α = 90.00°, β = 90.00°, γ = 116.31°
Last column: magnetic moment on the atom in μB.
Fractional coordinates of all 4 atoms:
Sr 0.500 0.000 0.500  0.10
Ca 0.500 0.000 0.000  0.11
Cl 0.000 0.000 0.768  0.01
Cl 0.000 0.000 0.232  0.01

# 12
The following is a DFT calculation (PBEsol) of crystalline SrZn2Fe at its relaxed geometry.

Computed properties:
Formation energy ... 187 meV per atom
Size of the total moment ... 2.329 μB/f.u.

a = 2.976 Å, b = 3.476 Å, c = 6.986 Å
α = 90.00°, β = 90.00°, γ = 90.00°
Last column: magnetic moment on the atom in μB.
Fractional coordinates of all 4 atoms:
Fe 0.500 0.500 0.000  2.49
Sr 0.500 0.500 0.500  0.00
Zn 0.000 0.000 0.822  -0.05
Zn 0.000 0.000 0.178  -0.05